TlHgPb2 (GGA-PBEsol, relaxed); magnetic moment = 0.00 μB/f.u.; DFT formation energy = 10 meV per atom; volume = 27.7 Å³ per atom; calculated density = 12.3 g/cm³
1.0
-1.819 2.806 5.420
1.819 -2.806 5.420
1.819 2.806 -5.420
Tl Hg Pb
1 1 2
direct
0.000 0.000 0.000
0.500 0.500 0.000
0.263 0.763 0.500
0.737 0.237 0.500